The following is a DFT calculation (PBE) of an optimized crystal structure of HoAs2Rh2.

Cell lengths 6.1691, 6.1691, 7.6054 Å; angles 90.00, 90.00, 142.29 degrees
Sites, in units of the cell vectors:
1 Ho 0.0938 0.9062 0.5000
2 Ho 0.9062 0.0938 0.0000
3 As 0.2366 0.7634 0.8156
4 As 0.4460 0.5540 0.6782
5 As 0.5540 0.4460 0.1782
6 As 0.7634 0.2366 0.3156
7 Rh 0.1855 0.8145 0.1281
8 Rh 0.3904 0.6096 0.3660
9 Rh 0.6096 0.3904 0.8660
10 Rh 0.8145 0.1855 0.6281

Output
Energy of formation from the pure elements: -19.0 kcal/mol of atoms
E_tot: -32.71 eV/f.u.
Fermi-level density of states: 6.332 states/eV per cell
Space group: Cmc2_1, No. 36